Sm5Y3In2: relaxed, PBE-GGA.

## Properties
formation enthalpy at 0 K	-3.39	kcal/mol of atoms

abc: 9.947 9.947 6.606
angles: 91.66 91.66 106.67
Positions (direct):
Sm  0.015  0.702  0.394
Sm  0.033  0.967  0.750
Sm  0.193  0.296  0.035
Sm  0.296  0.193  0.535
Sm  0.298  0.985  0.106
Sm  0.702  0.015  0.894
Sm  0.704  0.807  0.465
Sm  0.807  0.704  0.965
Sm  0.967  0.033  0.250
Sm  0.985  0.298  0.606
Y  0.144  0.625  0.909
Y  0.375  0.856  0.591
Y  0.464  0.536  0.750
Y  0.536  0.464  0.250
Y  0.625  0.144  0.409
Y  0.856  0.375  0.091
In  0.247  0.536  0.393
In  0.464  0.753  0.107
In  0.536  0.247  0.893
In  0.753  0.464  0.607

---

Sm2Y2In3: relaxed, PBE-GGA.

## Properties
formation enthalpy at 0 K	-8.21	kcal/mol of atoms
ΔE to the lowest computed polymorph	0.000	eV/atom

abc: 3.531 32.398 3.531
angles: 90.00 90.00 90.00
Positions (direct):
Sm  0.000  0.068  0.000
Sm  0.000  0.932  0.000
Sm  0.500  0.432  0.000
Sm  0.500  0.568  0.000
Y  0.000  0.201  0.000
Y  0.000  0.799  0.000
Y  0.500  0.299  0.000
Y  0.500  0.701  0.000
In  0.000  0.363  0.500
In  0.000  0.500  0.500
In  0.000  0.637  0.500
In  0.500  0.000  0.500
In  0.500  0.137  0.500
In  0.500  0.863  0.500

---

Sm7Y12In: relaxed, PBE-GGA.

## Properties
formation enthalpy at 0 K	3.56	kcal/mol of atoms

abc: 8.737 8.737 8.737
angles: 87.15 87.15 87.15
Positions (direct):
Sm  0.000  0.000  0.000
Sm  0.110  0.356  0.420
Sm  0.356  0.420  0.110
Sm  0.420  0.110  0.356
Sm  0.580  0.890  0.644
Sm  0.644  0.580  0.890
Sm  0.890  0.644  0.580
Y  0.004  0.642  0.109
Y  0.109  0.004  0.642
Y  0.245  0.747  0.365
Y  0.253  0.635  0.755
Y  0.358  0.891  0.996
Y  0.365  0.245  0.747
Y  0.635  0.755  0.253
Y  0.642  0.109  0.004
Y  0.747  0.365  0.245
Y  0.755  0.253  0.635
Y  0.891  0.996  0.358
Y  0.996  0.358  0.891
In  0.500  0.500  0.500